# 1
Entry from Alexandria via LeMat-Bulk: a relaxed structure of Li2Sm2Ge3 (PBE).

Results
The value obtained for the calculated volume is 20.2 Å³ per atom. As for the density of states at the Fermi level: 6.1 states/eV per cell. The crystal system is orthorhombic. For the energy, the calculation gives -4.58 eV per atom.

Lattice parameters (Å, degrees): 4.402 18.589 6.901 90.00 90.00 90.00
Space group Cmcm (No. 63)
One atom of each set of equivalent atoms:
1 Li 0.000 0.191 0.062 [8 per cell]
2 Sm 0.000 0.343 0.250 [4 per cell]
3 Sm 0.000 0.448 0.750 [4 per cell]
4 Ge 0.000 0.063 0.565 [8 per cell]
5 Ge 0.000 0.279 0.750 [4 per cell]

# 2
Entry from Alexandria via LeMat-Bulk: a relaxed structure of LiCd2Ga2Ag4 (PBE).

Results
The value obtained for the calculated volume is 18.3 Å³ per atom. As for the density of states at the Fermi level: 4.6 states/eV per cell. The crystal system is monoclinic. For the energy, the calculation gives -2.44 eV per atom.

Lattice parameters (Å, degrees): 13.685 3.027 8.108 90.00 101.69 90.00
Space group C2/m (No. 12)
One atom of each set of equivalent atoms:
1 Li 0.000 0.000 0.000 [2 per cell]
2 Cd 0.154 0.000 0.575 [4 per cell]
3 Ga 0.162 0.500 0.929 [4 per cell]
4 Ag 0.010 0.500 0.312 [4 per cell]
5 Ag 0.177 0.000 0.224 [4 per cell]

Sequential calculated formation energy output: -0.7023; -0.0850 eV/atom